Entry from Alexandria: an optimized crystal structure of CoC2I (GGA-PBEsol).

Unit cell a=5.1319 b=5.7017 c=5.1319 alpha=63.25 beta=90.00 gamma=116.75
With the nearest neighbours (Å) after each atom.
Atoms (fractional coordinates):
I1 0.7500 0.5000 0.7500  4 C 2.59
I2 0.0000 0.0000 0.0000  4 C 2.59
C1 0.4921 0.7500 0.3750  2 Co 1.79
C2 0.2579 0.7500 0.8750  2 Co 1.79
C3 0.8750 0.2500 0.4921  2 Co 1.79
C4 0.3750 0.2500 0.2579  2 Co 1.79
Co1 0.2500 0.5000 0.2500  4 C 1.79
Co2 0.5000 0.0000 0.5000  4 C 1.79

## Properties
ρ in g/cm3: 6.02
Uncorrected formation energy in kcal/mol of atoms: 34.605
Uncorrected energy in eV per atom: -5.6973